[1]
Compound: SmGaHg
Source: Alexandria
Functional: PBE
Structure: relaxed

Cell: 4.6870 4.6870 7.4641 Å, 90.00 90.00 120.00°
Space group P6_3/mmc (No. 194)
One atom of each set of equivalent atoms:
Sm1 0.0000 0.0000 0.0000 (multiplicity 2)
Ga1 0.3333 0.6667 0.2500 (multiplicity 2)
Hg1 0.3333 0.6667 0.7500 (multiplicity 2)

Computed properties:
calculated volume	142	Å³ per cell
distance to the lowest polymorph of the same formula	10	meV per atom

***

[2]
Compound: Gd3MnAlS7
Source: Alexandria
Functional: PBE
Structure: relaxed

Cell: 9.7685 9.7685 6.1821 Å, 90.00 90.00 120.00°
Space group P6_3 (No. 173)
One atom of each set of equivalent atoms:
Gd1 0.1512 0.3785 0.0000 (multiplicity 6)
Mn1 0.0000 0.0000 0.3104 (multiplicity 2)
Al1 0.3333 0.6667 0.4229 (multiplicity 2)
S1 0.0932 0.5732 0.2685 (multiplicity 6)
S2 0.1026 0.2426 0.5838 (multiplicity 6)
S3 0.3333 0.6667 0.7867 (multiplicity 2)

Computed properties:
formation energy without anion corrections	-1878	kJ/mol of formula units
calculated volume	511	Å³ per cell

***

[3]
Compound: AuSeN2F
Source: Alexandria
Functional: PBE
Structure: relaxed

Cell: 4.024 4.024 5.630 Å, 90.00 90.00 90.00°
Space group P4/mmm (No. 123)
One atom of each set of equivalent atoms:
Au1 0.000 0.000 0.000 (multiplicity 1)
Se1 0.000 0.000 0.500 (multiplicity 1)
N1 0.000 0.500 0.000 (multiplicity 2)
F1 0.500 0.500 0.500 (multiplicity 1)

Computed properties:
formation energy without anion corrections	787	kJ/mol of formula units
calculated volume	91	Å³ per cell
distance to the lowest polymorph of the same formula	334	meV per atom